1.
## PRuW2 (meta-GGA SCAN)

Data for a PBEsol-optimized structure of PRuW2.

Summary:
As for the electronic total energy: -46.19 eV per atom.

Cell: 2.8727 2.8727 6.6947 Å, 90.00 90.00 90.00°
Fractional coordinates of all 4 atoms:
P 0.0000 0.0000 0.0000
Ru 0.0000 0.0000 0.5000
W 0.5000 0.5000 0.2283
W 0.5000 0.5000 0.7717

---

2.
## KTa2Si (meta-GGA SCAN)

Data for a PBEsol-optimized structure of KTa2Si.

Summary:
For the uncorrected formation energy, the calculation gives 574 meV per atom. As for the electronic total energy: -37.30 eV per atom.

Cell: 2.8413 2.8413 10.2608 Å, 90.00 90.00 104.60°
Fractional coordinates of all 4 atoms:
K 0.0000 0.0000 0.0000
Ta 0.5000 0.5000 0.3143
Ta 0.5000 0.5000 0.6857
Si 0.0000 0.0000 0.5000

---

3.
## Li3Nb2CrO6 (meta-GGA SCAN)

Data for a PBEsol-optimized structure of Li3Nb2CrO6.

Summary:
For the uncorrected formation energy, the calculation gives -2445 meV per atom. As for the electronic total energy: -13.21 eV per atom.

Cell: 6.8856 6.8856 6.0652 Å, 106.17 106.17 24.16°
Fractional coordinates of all 12 atoms:
Li 0.0000 0.0000 0.0000
Li 0.3474 0.3474 0.6633
Li 0.6526 0.6526 0.3367
Nb 0.3241 0.3241 0.1473
Nb 0.6759 0.6759 0.8527
Cr 0.0000 0.0000 0.5000
O 0.1552 0.1552 0.1004
O 0.1554 0.1554 0.5834
O 0.4911 0.4911 0.2689
O 0.5089 0.5089 0.7311
O 0.8446 0.8446 0.4166
O 0.8448 0.8448 0.8996

---

4.
## CrSnN2F (meta-GGA SCAN)

Data for a PBEsol-optimized structure of CrSnN2F.

Summary:
For the uncorrected formation energy, the calculation gives 225 meV per atom. As for the electronic total energy: -15.06 eV per atom.

Cell: 4.0844 4.0844 4.0206 Å, 90.00 90.00 90.00°
Fractional coordinates of all 5 atoms:
Cr 0.0000 0.0000 0.0000
Sn 0.5000 0.5000 0.5000
N 0.0000 0.5000 0.5000
N 0.5000 0.0000 0.5000
F 0.5000 0.5000 0.0000

---

5.
## CaTiOs2 (meta-GGA SCAN)

Data for a PBEsol-optimized structure of CaTiOs2.

Summary:
As for the electronic total energy: -42.21 eV per atom.

Cell: 4.4870 4.4870 4.4870 Å, 60.00 60.00 60.00°
Fractional coordinates of all 4 atoms:
Ca 0.0000 0.0000 0.0000
Ti 0.5000 0.5000 0.5000
Os 0.2500 0.2500 0.2500
Os 0.7500 0.7500 0.7500

---

6.
## La3Rh2 (meta-GGA SCAN)

Data for a PBEsol-optimized structure of La3Rh2.

Summary:
As for the electronic total energy: -40.06 eV per atom.

Cell: 10.1063 10.1063 10.1063 Å, 23.38 23.38 23.38°
Fractional coordinates of all 5 atoms:
La 0.0000 0.0000 0.0000
La 0.2250 0.2250 0.2250
La 0.7750 0.7750 0.7750
Rh 0.3927 0.3927 0.3927
Rh 0.6073 0.6073 0.6073